Below is Tm12Ni6Pt after structural relaxation, with properties calculated at the PBE-GGA level.

Results
- symmetry = Im-3 (204)
- energy of formation from the pure elements (kJ/mol of formula units) = -793.0
- density of states at the Fermi level (states/eV per cell) = 24.7

abc: 8.164 8.164 8.164
angles: 109.47 109.47 109.47
Sites, in units of the cell vectors:
Tm 0.113 0.816 0.297
Tm 0.184 0.297 0.481
Tm 0.184 0.703 0.887
Tm 0.297 0.113 0.816
Tm 0.297 0.481 0.184
Tm 0.481 0.184 0.297
Tm 0.519 0.816 0.703
Tm 0.703 0.519 0.816
Tm 0.703 0.887 0.184
Tm 0.816 0.297 0.113
Tm 0.816 0.703 0.519
Tm 0.887 0.184 0.703
Ni 0.127 0.627 0.500
Ni 0.373 0.500 0.873
Ni 0.500 0.127 0.627
Ni 0.500 0.873 0.373
Ni 0.627 0.500 0.127
Ni 0.873 0.373 0.500
Pt 0.000 0.000 0.000


Below is BBr after structural relaxation, with properties calculated at the PBE-GGA level.

Results
- symmetry = P4_2/mnm (136)
- formation energy from raw total energies (eV/atom) = 0.5600

abc: 8.406 8.406 3.183
angles: 90.00 90.00 90.00
Sites, in units of the cell vectors:
B 0.064 0.064 0.000
B 0.436 0.564 0.500
B 0.564 0.436 0.500
B 0.936 0.936 0.000
Br 0.171 0.171 0.500
Br 0.329 0.671 0.000
Br 0.671 0.329 0.000
Br 0.829 0.829 0.500


Below is LaMg2Se after structural relaxation, with properties calculated at the PBE-GGA level.

Results
- symmetry = Cm (8)
- formation energy from raw total energies (eV/atom) = -0.6601
- density of states at the Fermi level (states/eV per cell) = 2.2

abc: 5.727 5.727 6.065
angles: 115.26 115.26 37.58
Sites, in units of the cell vectors:
La 0.000 0.000 0.000
Mg 0.177 0.177 0.625
Mg 0.399 0.399 0.420
Se 0.728 0.728 0.011


Below is Pr5Er3Te8 after structural relaxation, with properties calculated at the PBE-GGA level.

Results
- symmetry = R-3m (166)
- formation energy from raw total energies (eV/atom) = -1.3526
- density of states at the Fermi level (states/eV per cell) = 10.9

abc: 9.013 9.013 9.013
angles: 58.52 58.52 58.52
Sites, in units of the cell vectors:
Pr 0.000 0.000 0.000
Pr 0.000 0.500 0.500
Pr 0.500 0.000 0.500
Pr 0.500 0.500 0.000
Pr 0.500 0.500 0.500
Er 0.000 0.000 0.500
Er 0.000 0.500 0.000
Er 0.500 0.000 0.000
Te 0.237 0.750 0.750
Te 0.244 0.244 0.244
Te 0.250 0.250 0.763
Te 0.250 0.763 0.250
Te 0.750 0.237 0.750
Te 0.750 0.750 0.237
Te 0.756 0.756 0.756
Te 0.763 0.250 0.250


Let's list E_tot in order: -5.400; -3.615; -3.560; -5.273 eV per atom.
Let's list calculated volume in order: 22.0; 28.1; 27.1; 31.3 A^3/atom.